# 1
First-principles (GGA-PBE) data for crystalline Th8Ge3Se4 at its relaxed geometry, as listed in Alexandria.

Calculated values
Space-group type: C2/m, No. 12
ΔE_f (raw): -1.11 eV per atom
V: 425 Å³ per cell
VASP energy: -103.84 eV per formula unit

Cell lengths 8.431, 8.431, 8.421 Å; angles 119.81, 119.81, 90.14 degrees
Sites, in units of the cell vectors:
Th1 0.239 0.239 0.995
Th2 0.244 0.756 0.000
Th3 0.245 0.245 0.494
Th4 0.248 0.752 0.500
Th5 0.752 0.248 0.500
Th6 0.755 0.755 0.506
Th7 0.756 0.244 0.000
Th8 0.761 0.761 0.005
Ge1 0.000 0.000 0.500
Ge2 0.000 0.500 0.000
Ge3 0.500 0.000 0.000
Se1 0.000 0.500 0.500
Se2 0.500 0.000 0.500
Se3 0.500 0.500 0.000
Se4 0.500 0.500 0.500

---

# 2
First-principles (GGA-PBE) data for crystalline Y3Sc3In2 at its relaxed geometry, as listed in Alexandria.

Calculated values
Space-group type: Pmmm, No. 47
V: 207 Å³ per cell
VASP energy: -45.99 eV per formula unit

Cell lengths 4.708, 4.714, 9.346 Å; angles 90.00, 90.00, 90.00 degrees
Sites, in units of the cell vectors:
Y1 0.000 0.000 0.000
Y2 0.000 0.000 0.500
Y3 0.500 0.500 0.000
Sc1 0.500 0.000 0.257
Sc2 0.500 0.000 0.743
Sc3 0.500 0.500 0.500
In1 0.000 0.500 0.255
In2 0.000 0.500 0.745

---

# 3
First-principles (GGA-PBE) data for crystalline KMnBe2 at its relaxed geometry, as listed in Alexandria.

Calculated values
ΔE to the lowest computed polymorph: 504.2 meV/atom
Space-group type: I4_1/amd, No. 141
V: 175 Å³ per cell
VASP energy: -13.87 eV per formula unit

Cell lengths 8.834, 8.834, 8.834 Å; angles 149.70, 149.70, 43.38 degrees
Sites, in units of the cell vectors:
K1 0.375 0.625 0.750
K2 0.625 0.375 0.250
Mn1 0.125 0.875 0.250
Mn2 0.875 0.125 0.750
Be1 0.000 0.000 0.000
Be2 0.000 0.000 0.500
Be3 0.000 0.500 0.000
Be4 0.500 0.000 0.500

---

# 4
First-principles (GGA-PBE) data for crystalline BeBiH2 at its relaxed geometry, as listed in Alexandria.

Calculated values
ΔE to the lowest computed polymorph: 646.6 meV/atom
Space-group type: Fm-3m, No. 225
V: 47 Å³ per cell
VASP energy: -10.38 eV per formula unit

Cell lengths 4.052, 4.052, 4.052 Å; angles 60.00, 60.00, 60.00 degrees
Sites, in units of the cell vectors:
Be1 0.000 0.000 0.000
Bi1 0.500 0.500 0.500
H1 0.250 0.250 0.250
H2 0.750 0.750 0.750